DFT (PBE) results for an optimized crystal structure of Rb2SbCl3F2.

Cell lengths 13.377, 7.651, 7.639 Å; angles 119.28, 101.05, 84.54 degrees
Positions (direct):
Rb 0.316 0.001 0.102
Rb 0.911 0.669 0.307
Rb 0.306 0.662 0.436
Rb 0.684 0.999 0.898
Rb 0.089 0.331 0.693
Rb 0.694 0.338 0.564
Cl 0.884 0.220 0.284
Cl 0.116 0.323 0.139
Cl 0.116 0.780 0.716
Cl 0.498 0.680 0.816
Cl 0.502 0.320 0.184
Cl 0.500 0.000 0.500
Cl 0.117 0.899 0.262
Cl 0.884 0.677 0.861
Cl 0.883 0.101 0.738
F 0.697 0.661 0.435
F 0.309 0.546 0.985
F 0.303 0.339 0.565
F 0.696 0.872 0.229
F 0.304 0.128 0.771
F 0.691 0.454 0.015
Sb 0.000 0.000 0.000
Sb 0.603 0.665 0.200
Sb 0.397 0.335 0.800

Properties
crystal system	triclinic
formation energy (no corrections)	-1.96	eV per atom